*w*
An optimized crystal structure of Ho2AlCo, computed with PBE-GGA.

Properties
The calculation puts the total magnetic moment at 1.00 Bohr magnetons per cell. Its space group is No. 225.

abc: 4.9323 4.9323 4.9323
angles: 60.00 60.00 60.00
Last column: nearest neighbours and their distance in Å.
Atoms (fractional coordinates):
Al: 0.0000 0.0000 0.0000  8 Ho 3.02
Ho: 0.2500 0.2500 0.2500  4 Al 3.02, 4 Co 3.02
Ho: 0.7500 0.7500 0.7500  4 Co 3.02, 4 Al 3.02
Co: 0.5000 0.5000 0.5000  8 Ho 3.02

*x*
An optimized crystal structure of Ho2AlCo, computed with PBE-GGA.

Properties
The calculation puts the total magnetic moment at 0.83 Bohr magnetons per cell. Its space group is No. 166.

abc: 3.2781 3.2781 9.9452
angles: 80.51 80.51 60.00
Last column: nearest neighbours and their distance in Å.
Atoms (fractional coordinates):
Al: 0.5000 0.5000 0.5000  6 Ho 3.07, 6 Al 3.28
Ho: 0.9158 0.9158 0.2526  1 Co 2.47
Ho: 0.0842 0.0842 0.7474  1 Co 2.47
Co: 0.0000 0.0000 0.0000  2 Ho 2.47

*y*
An optimized crystal structure of Ho2AlCo, computed with PBE-GGA.

Properties
The calculation puts the total magnetic moment at 0.59 Bohr magnetons per cell. Its space group is No. 123.

abc: 3.4047 3.4047 7.2208
angles: 90.00 90.00 90.00
Last column: nearest neighbours and their distance in Å.
Atoms (fractional coordinates):
Ho: 0.0000 0.0000 0.7754  4 Co 2.90, 4 Al 3.12, 1 Ho 3.24
Al: 0.5000 0.5000 0.5000  8 Ho 3.12, 4 Al 3.40
Co: 0.5000 0.5000 0.0000  8 Ho 2.90
Ho: 0.0000 0.0000 0.2246  4 Co 2.90, 4 Al 3.12, 1 Ho 3.24

Sorted by energy, starting with the most stable: *y*, *w*, *x*.